(1)
Computed, not measured: a geometry-optimized K2CrIn structure at the PBE-GGA level of DFT.

Unit cell a=4.641 b=4.911 c=11.677 alpha=90.00 beta=90.00 gamma=90.00
Space group Immm (No. 71)
Symmetry-distinct sites (fractional):
K: 0.000 0.000 0.247 (multiplicity 4)
Cr: 0.000 0.500 0.500 (multiplicity 2)
In: 0.000 0.500 0.000 (multiplicity 2)


(2)
Computed, not measured: a geometry-optimized Pm5NdAs6 structure at the PBE-GGA level of DFT.

Unit cell a=7.354 b=12.731 c=7.353 alpha=90.00 beta=109.50 gamma=90.00
Space group C2/m (No. 12)
Symmetry-distinct sites (fractional):
Pm: 0.000 0.000 0.000 (multiplicity 2)
Pm: 0.000 0.167 0.500 (multiplicity 4)
Pm: 0.000 0.334 0.000 (multiplicity 4)
Nd: 0.000 0.500 0.500 (multiplicity 2)
As: 0.249 0.000 0.751 (multiplicity 4)
As: 0.249 0.167 0.249 (multiplicity 8)


(3)
Computed, not measured: a geometry-optimized Tb5Pm3Nd structure at the PBE-GGA level of DFT.

Unit cell a=8.725 b=8.725 c=15.722 alpha=90.00 beta=90.00 gamma=90.00
Space group I4/mcm (No. 140)
Symmetry-distinct sites (fractional):
Tb: 0.000 0.000 0.000 (multiplicity 4)
Tb: 0.207 0.293 0.137 (multiplicity 16)
Pm: 0.000 0.000 0.250 (multiplicity 4)
Pm: 0.118 0.382 0.500 (multiplicity 8)
Nd: 0.000 0.500 0.250 (multiplicity 4)


Number 1: formation enthalpy at 0 K 0.60 eV/atom, calculated density 3.06 Mg/m³. Number 2: formation enthalpy at 0 K -1.53 eV/atom, calculated density 6.75 Mg/m³. Number 3: formation enthalpy at 0 K 0.25 eV/atom, calculated density 7.62 Mg/m³.